1) Entry from Alexandria: crystalline AlCu2O at its relaxed geometry (PBE).

CIF file:
```
data_AlCu2O
_cell_length_a 5.6939
_cell_length_b 5.6939
_cell_length_c 6.8574
_cell_angle_alpha 90.00
_cell_angle_beta 90.00
_cell_angle_gamma 90.00
_space_group_name_H-M_alt 'I -4 2 d'
_space_group_IT_number 122
_space_group_name_Hall 'I -4 2bw'
loop_
_atom_site_label
_atom_site_fract_x
_atom_site_fract_y
_atom_site_fract_z
Al1 0.0000 0.0000 0.0000
Cu1 0.1760 0.2500 0.6250
O1 0.0000 0.0000 0.5000
```

=====

2) Entry from Alexandria: crystalline AlCu2O at its relaxed geometry (PBE).

CIF file:
```
data_AlCu2O
_cell_length_a 5.7981
_cell_length_b 5.7981
_cell_length_c 5.7981
_cell_angle_alpha 90.00
_cell_angle_beta 90.00
_cell_angle_gamma 90.00
_space_group_name_H-M_alt 'F m -3 m'
_space_group_IT_number 225
_space_group_name_Hall '-F 4 2 3'
loop_
_atom_site_label
_atom_site_fract_x
_atom_site_fract_y
_atom_site_fract_z
Al1 0.0000 0.0000 0.0000
Cu1 0.2500 0.2500 0.2500
O1 0.0000 0.0000 0.5000
```

=====

Energy ordering: 1) at the bottom, the next structure 258 meV/atom above.

=====

1) Entry from Alexandria: crystalline AlCu3O at its relaxed geometry (PBE).

CIF file:
```
data_AlCu3O
_cell_length_a 4.0374
_cell_length_b 4.0374
_cell_length_c 4.0374
_cell_angle_alpha 90.00
_cell_angle_beta 90.00
_cell_angle_gamma 90.00
_space_group_name_H-M_alt 'P m -3 m'
_space_group_IT_number 221
_space_group_name_Hall '-P 4 2 3'
loop_
_atom_site_label
_atom_site_fract_x
_atom_site_fract_y
_atom_site_fract_z
Al1 0.0000 0.0000 0.0000
Cu1 0.0000 0.5000 0.5000
O1 0.5000 0.5000 0.5000
```

=====

2) Entry from Alexandria: crystalline AlCu3O at its relaxed geometry (PBE).

CIF file:
```
data_AlCu3O
_cell_length_a 4.4451
_cell_length_b 4.4451
_cell_length_c 4.4451
_cell_angle_alpha 90.00
_cell_angle_beta 90.00
_cell_angle_gamma 90.00
_space_group_name_H-M_alt 'P m -3 m'
_space_group_IT_number 221
_space_group_name_Hall '-P 4 2 3'
loop_
_atom_site_label
_atom_site_fract_x
_atom_site_fract_y
_atom_site_fract_z
Al1 0.0000 0.0000 0.0000
Cu1 0.0000 0.0000 0.5000
O1 0.5000 0.5000 0.5000
```

=====

Energy ordering: 1) at the bottom, the next structure 1132 meV/atom above.

=====

1) Entry from Alexandria: crystalline AlCuPO2 at its relaxed geometry (PBE).

CIF file:
```
data_AlCuPO2
_cell_length_a 3.4765
_cell_length_b 3.4765
_cell_length_c 6.0909
_cell_angle_alpha 90.00
_cell_angle_beta 90.00
_cell_angle_gamma 90.00
_space_group_name_H-M_alt 'P 4/m m m'
_space_group_IT_number 123
_space_group_name_Hall '-P 4 2'
loop_
_atom_site_label
_atom_site_fract_x
_atom_site_fract_y
_atom_site_fract_z
Al1 0.0000 0.0000 0.0000
Cu1 0.5000 0.5000 0.5000
P1 0.0000 0.0000 0.5000
O1 0.0000 0.5000 0.0000
```

=====

2) Entry from Alexandria: crystalline AlCuPO2 at its relaxed geometry (PBE).

CIF file:
```
data_AlCuPO2
_cell_length_a 3.6835
_cell_length_b 3.6835
_cell_length_c 4.7804
_cell_angle_alpha 90.00
_cell_angle_beta 90.00
_cell_angle_gamma 90.00
_space_group_name_H-M_alt 'P 4/m m m'
_space_group_IT_number 123
_space_group_name_Hall '-P 4 2'
loop_
_atom_site_label
_atom_site_fract_x
_atom_site_fract_y
_atom_site_fract_z
Al1 0.0000 0.0000 0.0000
Cu1 0.5000 0.5000 0.5000
P1 0.5000 0.5000 0.0000
O1 0.0000 0.5000 0.5000
```

=====

Energy ordering: 1) at the bottom, the next structure 766 meV/atom above.

=====

1) Entry from Alexandria: crystalline Al4CuOs at its relaxed geometry (PBE).

CIF file:
```
data_Al4CuOs
_cell_length_a 7.0391
_cell_length_b 7.0391
_cell_length_c 7.0391
_cell_angle_alpha 90.00
_cell_angle_beta 90.00
_cell_angle_gamma 90.00
_space_group_name_H-M_alt 'F -4 3 m'
_space_group_IT_number 216
_space_group_name_Hall 'F -4 2 3'
loop_
_atom_site_label
_atom_site_fract_x
_atom_site_fract_y
_atom_site_fract_z
Al1 0.1245 0.1245 0.1245
Cu1 0.0000 0.0000 0.5000
Os1 0.2500 0.2500 0.7500
```

=====

2) Entry from Alexandria: crystalline Al4CuOs at its relaxed geometry (PBE).

CIF file:
```
data_Al4CuOs
_cell_length_a 9.5647
_cell_length_b 8.5581
_cell_length_c 5.3498
_cell_angle_alpha 90.00
_cell_angle_beta 111.81
_cell_angle_gamma 90.00
_space_group_name_H-M_alt 'C 1 2/m 1'
_space_group_IT_number 12
loop_
_space_group_symop_operation_xyz
'x,y,z'
'-x,-y,-z'
'-x,y,-z'
'x,-y,z'
'x+1/2,y+1/2,z'
'-x+1/2,-y+1/2,-z'
'-x+1/2,y+1/2,-z'
'x+1/2,-y+1/2,z'
loop_
_atom_site_label
_atom_site_fract_x
_atom_site_fract_y
_atom_site_fract_z
Al1 0.0000 0.0000 0.0000
Al2 0.0000 0.0000 0.5000
Al3 0.0214 0.5000 0.2505
Al4 0.1756 0.2665 0.7227
Cu1 0.2290 0.0000 0.4260
Os1 0.2465 0.0000 0.9326
```

=====

Energy ordering: 2) at the bottom, the next structure 296 meV/atom above.

=====

1) Entry from Alexandria: crystalline AlCuOs at its relaxed geometry (PBE).

CIF file:
```
data_AlCuOs
_cell_length_a 2.6498
_cell_length_b 3.8529
_cell_length_c 8.0155
_cell_angle_alpha 90.00
_cell_angle_beta 90.00
_cell_angle_gamma 90.00
_space_group_name_H-M_alt 'I m m 2'
_space_group_IT_number 44
loop_
_space_group_symop_operation_xyz
'x,y,z'
'-x,-y,z'
'-x,y,z'
'x,-y,z'
'x+1/2,y+1/2,z+1/2'
'-x+1/2,-y+1/2,z+1/2'
'-x+1/2,y+1/2,z+1/2'
'x+1/2,-y+1/2,z+1/2'
loop_
_atom_site_label
_atom_site_fract_x
_atom_site_fract_y
_atom_site_fract_z
Al1 0.0000 0.0000 0.0000
Cu1 0.0000 0.0000 0.3303
Os1 0.0000 0.0000 0.6618
```

=====

2) Entry from Alexandria: crystalline AlCuOs at its relaxed geometry (PBE).

CIF file:
```
data_AlCuOs
_cell_length_a 2.7617
_cell_length_b 2.7617
_cell_length_c 6.2654
_cell_angle_alpha 90.00
_cell_angle_beta 90.00
_cell_angle_gamma 120.00
_space_group_name_H-M_alt 'P 3 m 1'
_space_group_IT_number 156
loop_
_space_group_symop_operation_xyz
'x,y,z'
'-y,x-y,z'
'-x+y,-x,z'
'-y,-x,z'
'-x+y,y,z'
'x,x-y,z'
loop_
_atom_site_label
_atom_site_fract_x
_atom_site_fract_y
_atom_site_fract_z
Al1 0.0000 0.0000 0.0000
Cu1 0.6667 0.3333 0.3213
Os1 0.3333 0.6667 0.6698
```

=====

Energy ordering: 1) at the bottom, the next structure 30 meV/atom above.

=====

1) Entry from Alexandria: crystalline AlCuOs at its relaxed geometry (PBE).

CIF file:
```
data_AlCuOs
_cell_length_a 5.7003
_cell_length_b 5.7003
_cell_length_c 5.7003
_cell_angle_alpha 90.00
_cell_angle_beta 90.00
_cell_angle_gamma 90.00
_space_group_name_H-M_alt 'F -4 3 m'
_space_group_IT_number 216
_space_group_name_Hall 'F -4 2 3'
loop_
_atom_site_label
_atom_site_fract_x
_atom_site_fract_y
_atom_site_fract_z
Al1 0.0000 0.0000 0.0000
Cu1 0.2500 0.2500 0.7500
Os1 0.2500 0.2500 0.2500
```

=====

2) Entry from Alexandria: crystalline AlCuOs at its relaxed geometry (PBE).

CIF file:
```
data_AlCuOs
_cell_length_a 4.3179
_cell_length_b 4.5535
_cell_length_c 8.2543
_cell_angle_alpha 90.00
_cell_angle_beta 90.00
_cell_angle_gamma 90.00
_space_group_name_H-M_alt 'A m a 2'
_space_group_IT_number 40
loop_
_space_group_symop_operation_xyz
'x,y,z'
'-x,-y,z'
'-x+1/2,y,z'
'x+1/2,-y,z'
'x,y+1/2,z+1/2'
'-x,-y+1/2,z+1/2'
'-x+1/2,y+1/2,z+1/2'
'x+1/2,-y+1/2,z+1/2'
loop_
_atom_site_label
_atom_site_fract_x
_atom_site_fract_y
_atom_site_fract_z
Al1 0.2500 0.1756 0.0000
Cu1 0.2500 0.1594 0.6638
Os1 0.2500 0.1651 0.3316
```

=====

Energy ordering: 2) at the bottom, the next structure 478 meV/atom above.